Entry 1:
VASP calculation (PBEsol) on BiBr2F after structural relaxation.

Lattice parameters (Å, degrees): 3.952 3.952 25.095 90.00 90.00 120.00
Element x y z (fractional)
Bi  0.000  0.000  0.000
Bi  0.333  0.667  0.667
Bi  0.667  0.333  0.333
Br  0.000  0.000  0.409
Br  0.000  0.000  0.591
Br  0.333  0.667  0.076
Br  0.333  0.667  0.258
Br  0.667  0.333  0.742
Br  0.667  0.333  0.924
F  0.000  0.000  0.500
F  0.333  0.667  0.167
F  0.667  0.333  0.833

Values from the calculation:
VASP energy = -3.0299 eV/atom
Uncorrected formation energy = -0.54 eV per atom
Symmetry = No. 166

Entry 2:
VASP calculation (PBEsol) on Ga2BiBrF after structural relaxation.

Lattice parameters (Å, degrees): 5.756 5.756 4.472 90.00 90.00 90.00
Element x y z (fractional)
Ga  0.000  0.500  0.000
Ga  0.500  0.000  0.000
Bi  0.000  0.000  0.000
Br  0.500  0.500  0.500
F  0.000  0.000  0.500

Values from the calculation:
VASP energy = -3.3921 eV/atom
Uncorrected formation energy = -0.44 eV per atom
Symmetry = No. 123

Entry 3:
VASP calculation (PBEsol) on BiBrOF2 after structural relaxation.

Lattice parameters (Å, degrees): 4.457 4.457 4.439 90.00 90.00 90.00
Element x y z (fractional)
Bi  0.000  0.000  0.000
Br  0.500  0.500  0.500
O  0.000  0.000  0.500
F  0.000  0.500  0.000
F  0.500  0.000  0.000

Values from the calculation:
VASP energy = -4.1048 eV/atom
Uncorrected formation energy = -1.05 eV per atom
Symmetry = No. 123

Entry 4:
VASP calculation (PBEsol) on Bi2OsBrF after structural relaxation.

Lattice parameters (Å, degrees): 5.156 5.156 5.177 90.00 90.00 90.00
Element x y z (fractional)
Bi  0.000  0.500  0.000
Bi  0.500  0.000  0.000
Os  0.000  0.000  0.000
Br  0.000  0.000  0.500
F  0.500  0.500  0.500

Values from the calculation:
VASP energy = -4.5826 eV/atom
Uncorrected formation energy = 0.33 eV per atom
Symmetry = No. 123

Entry 5:
VASP calculation (PBEsol) on ReBiBrF2 after structural relaxation.

Lattice parameters (Å, degrees): 4.169 4.169 5.346 90.00 90.00 90.00
Element x y z (fractional)
Re  0.000  0.000  0.000
Bi  0.500  0.500  0.500
Br  0.000  0.000  0.500
F  0.000  0.500  0.000
F  0.500  0.000  0.000

Values from the calculation:
VASP energy = -4.8158 eV/atom
Uncorrected formation energy = -0.15 eV per atom
Symmetry = No. 123

Entry 6:
VASP calculation (PBEsol) on Fe2BiBr after structural relaxation.

Lattice parameters (Å, degrees): 6.455 6.455 6.455 90.00 90.00 90.00
Element x y z (fractional)
Fe  0.250  0.250  0.250
Fe  0.250  0.250  0.750
Fe  0.250  0.750  0.250
Fe  0.250  0.750  0.750
Fe  0.750  0.250  0.250
Fe  0.750  0.250  0.750
Fe  0.750  0.750  0.250
Fe  0.750  0.750  0.750
Bi  0.000  0.000  0.000
Bi  0.000  0.500  0.500
Bi  0.500  0.000  0.500
Bi  0.500  0.500  0.000
Br  0.000  0.000  0.500
Br  0.000  0.500  0.000
Br  0.500  0.000  0.000
Br  0.500  0.500  0.500

Values from the calculation:
VASP energy = -5.2406 eV/atom
Uncorrected formation energy = 0.78 eV per atom
Symmetry = No. 225

Entry 7:
VASP calculation (PBEsol) on FeBiIrBr2 after structural relaxation.

Lattice parameters (Å, degrees): 5.589 5.589 5.105 90.00 90.00 90.00
Element x y z (fractional)
Fe  0.000  0.000  0.000
Bi  0.500  0.500  0.500
Ir  0.500  0.500  0.000
Br  0.000  0.500  0.500
Br  0.500  0.000  0.500

Values from the calculation:
VASP energy = -3.9141 eV/atom
Uncorrected formation energy = 1.45 eV per atom
Symmetry = No. 123

Entry 8:
VASP calculation (PBEsol) on GaBiBr2 after structural relaxation.

Lattice parameters (Å, degrees): 8.206 8.206 6.710 90.00 90.00 90.00
Element x y z (fractional)
Ga  0.000  0.000  0.000
Ga  0.000  0.500  0.250
Ga  0.500  0.000  0.750
Ga  0.500  0.500  0.500
Bi  0.000  0.000  0.500
Bi  0.000  0.500  0.750
Bi  0.500  0.000  0.250
Bi  0.500  0.500  0.000
Br  0.246  0.750  0.625
Br  0.250  0.246  0.375
Br  0.250  0.254  0.875
Br  0.254  0.750  0.125
Br  0.746  0.250  0.125
Br  0.750  0.746  0.875
Br  0.750  0.754  0.375
Br  0.754  0.250  0.625

Values from the calculation:
VASP energy = -2.9931 eV/atom
Uncorrected formation energy = -0.15 eV per atom
Symmetry = No. 122